Below is a relaxed structure of PmTm2Ga2Ag2, with properties calculated at the PBE-GGA level.

The structure in extended XYZ format:
```
7
Lattice="4.633 0.000 0.000 2.317 4.012 0.000 2.317 1.337 8.835" Properties=species:S:1:pos:R:3 pbc="T T T"
Pm 0.000 0.000 0.000
Tm 2.317 1.337 5.460
Tm 6.950 4.012 3.375
Ga 6.950 4.012 6.735
Ga 2.317 1.337 2.100
Ag 4.633 2.675 1.920
Ag 4.633 2.675 6.915
```

Summary:
VASP energy (eV per atom): -4.01
Fermi-level density of states (states/eV per cell): 4.3
DFT formation energy (meV/atom): -372
ρ (kg/m3): 8473